Computed, not measured: a relaxed Tb2PrSm8 crystal at the GGA-PBE level of DFT.

a b c (Å): 9.467 9.467 9.467
angles (deg): 145.27 128.15 63.93
Fractional positions:
Tb: 0.200 0.200 0.000
Tb: 0.800 0.800 0.000
Pr: 0.500 0.500 0.000
Sm: 0.066 0.362 0.705
Sm: 0.205 0.000 0.205
Sm: 0.337 0.837 0.500
Sm: 0.343 0.638 0.705
Sm: 0.657 0.362 0.295
Sm: 0.663 0.163 0.500
Sm: 0.795 0.000 0.795
Sm: 0.934 0.638 0.295

Polymorph energy (0 for the lowest one): 0 meV per atom
Spin magnetization: 0.00 Bohr magnetons per cell
Calculated formation energy: 10.6 kJ per mole of atoms
Volume: 375.7 Å³/cell

Computed, not measured: a relaxed Tb3Pr5Sm4 crystal at the GGA-PBE level of DFT.

a b c (Å): 6.316 7.290 8.941
angles (deg): 90.02 90.11 90.13
Fractional positions:
Tb: 0.000 0.000 0.000
Tb: 0.167 0.749 0.666
Tb: 0.833 0.251 0.334
Pr: 0.000 0.500 0.000
Pr: 0.331 0.000 0.334
Pr: 0.499 0.750 0.000
Pr: 0.501 0.250 0.000
Pr: 0.669 0.000 0.666
Sm: 0.166 0.250 0.666
Sm: 0.334 0.500 0.335
Sm: 0.666 0.500 0.665
Sm: 0.834 0.750 0.334

Polymorph energy (0 for the lowest one): 0 meV per atom
Spin magnetization: 0.00 Bohr magnetons per cell
Calculated formation energy: 1.3 kJ per mole of atoms
Volume: 411.7 Å³/cell

Computed, not measured: a relaxed TbPrSm crystal at the GGA-PBE level of DFT.

a b c (Å): 3.653 3.653 9.098
angles (deg): 101.76 101.76 60.02
Fractional positions:
Tb: 0.000 0.000 0.000
Pr: 0.781 0.781 0.334
Sm: 0.222 0.222 0.675

Polymorph energy (0 for the lowest one): 4 meV per atom
Spin magnetization: 0.00 Bohr magnetons per cell
Calculated formation energy: 1.9 kJ per mole of atoms
Volume: 102.2 Å³/cell

What is the polymorph energy (0 for the lowest one) in the first record?
0 meV per atom

Number 3 is which compound?
TbPrSm